Below is a geometry-optimized PmMn2O6 structure, with properties calculated at the GGA+U level.

Unit cell a=5.0250 b=5.0250 c=5.0652 alpha=90.00 beta=90.00 gamma=120.00
Space group P-31m (No. 162)
Asymmetric unit:
Pm (0.0000, 0.0000, 0.0000) x1
Mn (0.3333, 0.6667, 0.5000) x2
O (0.0000, 0.3702, 0.7104) x6

## Properties
- raw total energy (eV/atom) = -7.326
- volume (A^3/atom) = 12.31
- D(E_F) (states/eV per cell) = 5.749
- total moment (μB per atom) = 0.56